CoPtPb | PBE | optimized geometry

Cell and atoms, written as POSCAR:
```
CoPtPb
1.0
-1.890 -2.875 -1.870
3.813 0.553 -0.603
1.891 -5.653 6.779
Co Pt Pb
2 2 2
Direct
0.277 0.555 0.869
0.277 0.555 0.131
0.612 0.223 0.000
0.277 0.554 0.500
0.612 0.223 0.311
0.612 0.223 0.689
```

The calculation puts the formation enthalpy at 0 K at 0.858 eV per formula unit. Its density is 12.8 Mg/m³. Its magnetic moment is 1.5 μB per formula unit. Its calculated total energy is -31.99 eV/cell. The calculation puts the offset from the most stable computed form at 53 meV per atom. As for the space-group type: No. 38.



Li2PmSn5 | PBE | optimized geometry

Cell and atoms, written as POSCAR:
```
Li2PmSn5
1.0
-0.793 -5.593 5.680
-2.105 -5.358 -5.570
7.405 3.892 -0.783
Sn Li Pm
10 4 2
Direct
0.981 0.481 0.685
0.000 0.000 0.000
0.704 0.204 0.685
0.019 0.519 0.315
0.796 0.019 0.315
0.296 0.796 0.315
0.481 0.704 0.685
0.519 0.296 0.315
0.204 0.981 0.685
0.500 0.500 0.000
0.850 0.650 0.000
0.650 0.150 0.000
0.350 0.850 0.000
0.150 0.350 0.000
0.750 0.750 0.500
0.250 0.250 0.500
```

The calculation puts the formation enthalpy at 0 K at -2.507 eV per formula unit. Its density is 6.3 Mg/m³. Its magnetic moment is 0.0 μB per formula unit. Its calculated total energy is -62.20 eV/cell. As for the space-group type: No. 140.



Ba2TeOsO6 | PBE | optimized geometry

Cell and atoms, written as POSCAR:
```
Ba2TeOsO6
1.0
-0.866 -1.303 5.744
-3.508 -4.549 -1.562
1.159 -5.479 2.015
Os O Ba Te
1 6 2 1
Direct
0.000 0.000 0.000
0.243 0.757 0.000
0.243 0.243 0.514
0.758 0.757 0.999
0.242 0.243 0.001
0.757 0.243 0.000
0.757 0.757 0.486
0.750 0.250 0.500
0.250 0.750 0.500
0.500 0.500 0.000
```

Its density is 7.7 Mg/m³. Its magnetic moment is 2.0 μB per formula unit. Its calculated total energy is -64.50 eV/cell. As for the space-group type: No. 225. The calculation puts the formation energy without anion corrections at -1.65 eV/atom.